<A>
A plane-wave DFT calculation with PBE-GGA was carried out for crystalline B5C7 at its relaxed geometry.

Output
Mass density, Mg/m³: 2.9

```
B5C7
1.0
2.579 0.000 0.000
0.000 4.129 0.000
0.000 0.000 7.362
B C
5 7
Direct
0.500 0.790 0.319 B
0.500 0.470 0.167 B
0.500 0.474 0.511 B
0.500 0.474 0.822 B
0.500 0.790 0.014 B
0.000 0.223 0.502 C
0.000 0.223 0.831 C
0.500 0.772 0.667 C
0.000 0.989 0.667 C
0.000 0.234 0.167 C
0.000 0.030 0.999 C
0.000 0.030 0.335 C
```

<B>
A plane-wave DFT calculation with PBE-GGA was carried out for crystalline B5C7 at its relaxed geometry.

Output
Mass density, Mg/m³: 2.8

```
B5C7
1.0
2.590 0.000 0.000
0.000 3.819 -0.002
0.000 -0.004 8.168
C B
7 5
Direct
0.500 0.500 0.816 C
0.500 0.760 0.674 C
0.000 0.991 0.666 C
0.000 0.220 0.512 C
0.500 0.736 0.332 C
0.500 0.508 0.179 C
0.000 0.274 0.825 C
0.000 0.939 0.372 B
0.500 0.716 0.004 B
0.000 0.027 0.980 B
0.500 0.506 0.504 B
0.000 0.323 0.138 B
```

Relative energy of each structure, in kJ/mol of atoms: <A> 0.0; <B> 5.9.